No. 1
Computed, not measured: a geometry-optimized RbNbSeO structure at the GGA-PBE level of DFT.

The energy comes out at -6.11 eV/atom.

It has space group Pmc2_1 (No. 26), with a = 4.3651 Å, b = 7.8219 Å, c = 6.6950 Å, α = 90.00°, β = 90.00° and γ = 90.00°. The distinct sites, in fractional coordinates, are Rb at (0.0000, 0.1930, 0.0000), Nb at (0.5000, 0.4058, 0.4228), Se at (0.0000, 0.2461, 0.5034) and O at (0.5000, 0.4100, 0.1287).


No. 2
Computed, not measured: a geometry-optimized CoAgBAu structure at the GGA-PBE level of DFT.

The energy comes out at -4.06 eV/atom.

It has space group F-43m (No. 216), with a = 6.0105 Å, b = 6.0105 Å, c = 6.0105 Å, α = 90.00°, β = 90.00° and γ = 90.00°. The distinct sites, in fractional coordinates, are Co at (0.0000, 0.0000, 0.0000), Ag at (0.2500, 0.2500, 0.2500), B at (0.2500, 0.2500, 0.7500) and Au at (0.0000, 0.0000, 0.5000).


No. 3
Computed, not measured: a geometry-optimized NiSn2Au structure at the GGA-PBE level of DFT.

The energy comes out at -3.95 eV/atom.

It has space group F-43m (No. 216), with a = 6.8675 Å, b = 6.8675 Å, c = 6.8675 Å, α = 90.00°, β = 90.00° and γ = 90.00°. The distinct sites, in fractional coordinates, are Ni at (0.0000, 0.0000, 0.0000), Sn at (0.0000, 0.0000, 0.5000), Sn at (0.2500, 0.2500, 0.7500) and Au at (0.2500, 0.2500, 0.2500).